[1]
Computed, not measured: a relaxed structure of ThInNi at the GGA-PBE level of DFT.

Cell: 4.1731 7.3570 7.3570 Å, 120.00 90.00 90.00°
Last column: nearest neighbours and their distance in Å.
Atoms (fractional coordinates):
Ni1 0.5000 0.0000 0.0000  6 In 2.75, 3 Th 3.07
Ni2 0.0000 0.3333 0.6667  3 In 2.84, 6 Th 3.04
Ni3 0.0000 0.6667 0.3333  3 In 2.84, 6 Th 3.04
Th1 0.5000 0.0000 0.5830  5 Ni 3.04-3.07, 6 In 3.25-3.39
Th2 0.5000 0.4170 0.4170  5 Ni 3.04-3.07, 6 In 3.25-3.39
Th3 0.5000 0.5830 0.0000  5 Ni 3.04-3.07, 6 In 3.25-3.39
In1 0.0000 0.0000 0.2442  4 Ni 2.75-2.84
In2 0.0000 0.7558 0.7558  4 Ni 2.75-2.84
In3 0.0000 0.2442 0.0000  4 Ni 2.75-2.84

Output
The calculation puts the formation energy from the elements at -478 meV/atom. As for the total magnetic moment: 0.00 μB per cell. As for the space group: No. 189. Its crystal system is hexagonal.



[2]
Computed, not measured: a relaxed structure of ThIn4Ni2 at the GGA-PBE level of DFT.

Cell: 4.4955 7.1265 18.1995 Å, 90.00 90.00 90.00°
Last column: nearest neighbours and their distance in Å.
Atoms (fractional coordinates):
Th1 0.7500 0.9733 0.6381  4 Ni 3.20-3.41, 9 In 3.23-3.52
Th2 0.2500 0.0267 0.3619  4 Ni 3.20-3.41, 9 In 3.23-3.52
Th3 0.2500 0.4733 0.8619  4 Ni 3.20-3.41, 9 In 3.23-3.52
Th4 0.7500 0.5267 0.1381  4 Ni 3.20-3.41, 9 In 3.23-3.52
In1 0.2500 0.2641 0.6960  3 Ni 2.64-2.69, 1 In 2.88
In2 0.7500 0.7359 0.3040  3 Ni 2.64-2.69, 1 In 2.88
In3 0.7500 0.7641 0.8040  3 Ni 2.64-2.69, 1 In 2.88
In4 0.2500 0.2359 0.1960  3 Ni 2.64-2.69, 1 In 2.88
In5 0.2500 0.6675 0.6844  4 Ni 2.68-2.77, 1 In 2.88
In6 0.7500 0.3325 0.3156  4 Ni 2.68-2.77, 1 In 2.88
In7 0.7500 0.1675 0.8156  4 Ni 2.68-2.77, 1 In 2.88
In8 0.2500 0.8325 0.1844  4 Ni 2.68-2.77, 1 In 2.88
In9 0.2500 0.1634 0.5324  3 Ni 2.67-2.83
In10 0.7500 0.8366 0.4676  3 Ni 2.67-2.83
In11 0.7500 0.6634 0.9676  3 Ni 2.67-2.83
In12 0.2500 0.3366 0.0324  3 Ni 2.67-2.83
In13 0.2500 0.5116 0.4272  2 Ni 2.71-2.77
In14 0.7500 0.4884 0.5728  2 Ni 2.71-2.77
In15 0.7500 0.0116 0.0728  2 Ni 2.71-2.77
In16 0.2500 0.9884 0.9272  2 Ni 2.71-2.77
Ni1 0.2500 0.7669 0.5421  5 In 2.67-2.83
Ni2 0.7500 0.2331 0.4579  5 In 2.67-2.83
Ni3 0.7500 0.2669 0.9579  5 In 2.67-2.83
Ni4 0.2500 0.7331 0.0421  5 In 2.67-2.83
Ni5 0.2500 0.9608 0.7789  7 In 2.64-2.77
Ni6 0.7500 0.0392 0.2211  7 In 2.64-2.77
Ni7 0.7500 0.4608 0.7211  7 In 2.64-2.77
Ni8 0.2500 0.5392 0.2789  7 In 2.64-2.77

Output
The calculation puts the formation energy from the elements at -263 meV/atom. As for the total magnetic moment: 0.00 μB per cell. As for the space group: No. 62. Its crystal system is orthorhombic.



[3]
Computed, not measured: a relaxed structure of Th2InNi at the GGA-PBE level of DFT.

Cell: 3.3937 3.3937 8.6201 Å, 90.00 90.00 90.00°
Last column: nearest neighbours and their distance in Å.
Atoms (fractional coordinates):
Ni1 0.5000 0.5000 0.0000  8 Th 3.01
Th1 0.0000 0.0000 0.7897  4 Ni 3.01
Th2 0.0000 0.0000 0.2103  4 Ni 3.01
In1 0.5000 0.5000 0.5000  4 In 3.39, 8 Th 3.46

Output
The calculation puts the formation energy from the elements at -283 meV/atom. As for the total magnetic moment: 0.00 μB per cell. As for the space group: No. 123. The calculation puts the energy above the lowest structure with this stoichiometry at 0.00 eV/f.u. Its crystal system is tetragonal.



[4]
Computed, not measured: a relaxed structure of ThInNi2 at the GGA-PBE level of DFT.

Cell: 3.4877 4.8690 4.8690 Å, 93.71 90.00 90.00°
Last column: nearest neighbours and their distance in Å.
Atoms (fractional coordinates):
Th1 0.0000 0.0321 0.9679  4 Ni 2.82
In1 0.5000 0.6007 0.3993  4 Ni 2.50-2.52
Ni1 0.5000 0.1062 0.5240  1 Ni 2.46, 2 In 2.50-2.52
Ni2 0.5000 0.4760 0.8938  1 Ni 2.46, 2 In 2.50-2.52

Output
The calculation puts the formation energy from the elements at -188 meV/atom. As for the total magnetic moment: 0.00 μB per cell. As for the space group: No. 38. Its crystal system is orthorhombic.



[5]
Computed, not measured: a relaxed structure of ThInNi at the GGA-PBE level of DFT.

Cell: 3.9172 7.6485 13.2950 Å, 90.00 90.00 90.00°
Last column: nearest neighbours and their distance in Å.
Atoms (fractional coordinates):
Th1 0.0000 0.2252 0.9560  5 Ni 2.96-3.22
Th2 0.0000 0.7748 0.0440  5 Ni 2.96-3.22
Th3 0.0000 0.2252 0.5440  5 Ni 2.96-3.22
Th4 0.0000 0.7748 0.4560  5 Ni 2.96-3.22
Th5 0.0000 0.1434 0.2500  5 Ni 2.93-3.13, 2 In 3.28
Th6 0.0000 0.8566 0.7500  5 Ni 2.93-3.13, 2 In 3.28
In1 0.5000 0.4326 0.1242  3 Ni 2.73-2.88
In2 0.5000 0.5674 0.8758  3 Ni 2.73-2.88
In3 0.5000 0.4326 0.3758  3 Ni 2.73-2.88
In4 0.5000 0.5674 0.6242  3 Ni 2.73-2.88
In5 0.5000 0.8001 0.2500  4 Ni 2.72-2.88
In6 0.5000 0.1999 0.7500  4 Ni 2.72-2.88
Ni1 0.5000 0.0603 0.0934  1 Ni 2.65, 2 In 2.88, 4 Th 2.93-2.96
Ni2 0.5000 0.9397 0.9066  1 Ni 2.65, 2 In 2.88, 4 Th 2.93-2.96
Ni3 0.5000 0.0603 0.4066  1 Ni 2.65, 2 In 2.88, 4 Th 2.93-2.96
Ni4 0.5000 0.9397 0.5934  1 Ni 2.65, 2 In 2.88, 4 Th 2.93-2.96
Ni5 0.0000 0.5528 0.2500  6 In 2.72-2.73
Ni6 0.0000 0.4472 0.7500  6 In 2.72-2.73

Output
The calculation puts the formation energy from the elements at -452 meV/atom. As for the total magnetic moment: 0.00 μB per cell. As for the space group: No. 51. Its crystal system is orthorhombic.



[6]
Computed, not measured: a relaxed structure of ThInNi2 at the GGA-PBE level of DFT.

Cell: 3.2872 3.2872 6.8415 Å, 90.00 90.00 90.00°
Last column: nearest neighbours and their distance in Å.
Atoms (fractional coordinates):
Ni1 0.0000 0.0000 0.7832  4 In 2.76, 1 Ni 2.97, 4 Th 3.03
Ni2 0.0000 0.0000 0.2168  4 In 2.76, 1 Ni 2.97, 4 Th 3.03
Th1 0.5000 0.5000 0.5000  8 Ni 3.03, 4 Th 3.29
In1 0.5000 0.5000 0.0000  8 Ni 2.76

Output
The calculation puts the formation energy from the elements at -185 meV/atom. As for the total magnetic moment: 0.00 μB per cell. As for the space group: No. 123. Its crystal system is tetragonal.